No. 1
Dy4In2GaHg PBE relaxed; space-group type = R-3m; density of states at the Fermi level = 0.81 states/eV per atom
1.0
5.255 0.000 0.000
2.628 4.551 0.000
2.628 1.517 8.536
Dy In Ga Hg
4 2 1 1
Direct
0.378 0.378 0.866
0.873 0.873 0.382
0.127 0.127 0.618
0.622 0.622 0.134
0.748 0.748 0.757
0.252 0.252 0.243
0.500 0.500 0.500
0.000 0.000 0.000

***

No. 2
Pr2Nd8Tm3 PBE relaxed; E above lowest polymorph = 0.42 eV per formula unit; space-group type = C2/m; density of states at the Fermi level = 1.49 states/eV per atom
1.0
-4.196 -3.779 0.727
5.018 -5.783 -1.094
-0.535 2.671 10.766
Pr Nd Tm
2 8 3
Direct
0.499 0.239 0.479
0.501 0.761 0.521
0.000 0.669 0.338
0.000 0.331 0.662
0.000 0.128 0.256
0.000 0.872 0.744
0.500 0.601 0.795
0.500 0.193 0.795
0.500 0.807 0.205
0.500 0.399 0.205
0.500 0.000 0.000
0.000 0.286 0.000
0.000 0.714 0.000

***

No. 3
BaBeAs2 PBE relaxed; space-group type = R3m; density of states at the Fermi level = 0.36 states/eV per atom
1.0
-1.388 -5.607 2.616
2.465 -4.152 4.111
-1.268 -2.490 5.692
Be As Ba
1 2 1
Direct
0.686 0.686 0.686
0.025 0.025 0.025
0.298 0.298 0.298
0.490 0.490 0.490

***

No. 4
Ta2Ti3Al2 PBE relaxed; space-group type = R-3m; density of states at the Fermi level = 1.28 states/eV per atom
1.0
-2.885 -1.146 -3.309
4.105 -5.682 -1.611
-3.746 3.080 5.310
Ta Ti Al
2 3 2
Direct
0.139 0.361 0.278
0.861 0.639 0.722
0.000 0.500 0.000
0.576 0.924 0.152
0.424 0.076 0.848
0.279 0.222 0.557
0.721 0.778 0.443

***

Number 1: formation energy -0.482 eV/atom, M_tot 0.00 μB per formula unit, DFT total energy -3.88 eV per atom. Number 2: formation energy 0.198 eV/atom, M_tot 0.00 μB per formula unit, DFT total energy -4.50 eV per atom. Number 3: formation energy -0.178 eV/atom, M_tot 0.00 μB per formula unit, DFT total energy -3.91 eV per atom. Number 4: formation energy -0.204 eV/atom, M_tot 0.00 μB per formula unit, DFT total energy -8.04 eV per atom.